1.
DFT (GGA-PBE) results for crystalline Rb2ReF8 at its relaxed geometry.

Results
space group = No. 12
uncorrected energy = -4.901 eV/atom
calculated density = 3.9 g cm⁻³
magnetic moment = 1.0 μB per formula unit

Lattice parameters (Å, degrees): 5.4791 5.4791 8.5871 97.10 97.10 57.19
Atoms (fractional coordinates):
Rb  0.1707  0.1707  0.1617
Rb  0.8293  0.8293  0.8383
Re  0.5000  0.5000  0.5000
F  0.1161  0.6167  0.4319
F  0.1293  0.1293  0.8581
F  0.3833  0.8839  0.5681
F  0.4428  0.4428  0.7019
F  0.5572  0.5572  0.2981
F  0.6167  0.1161  0.4319
F  0.8707  0.8707  0.1419
F  0.8839  0.3833  0.5681

***

2.
DFT (GGA-PBE) results for crystalline Rb3ReF6 at its relaxed geometry.

Results
space group = No. 139
uncorrected energy = -4.939 eV/atom
calculated density = 4.4 g cm⁻³
magnetic moment = 2.0 μB per formula unit

Lattice parameters (Å, degrees): 6.6327 6.6327 6.6327 119.49 119.49 90.89
Atoms (fractional coordinates):
Rb  0.0000  0.0000  0.0000
Rb  0.2500  0.7500  0.5000
Rb  0.7500  0.2500  0.5000
Re  0.5000  0.5000  0.0000
F  0.2791  0.2791  0.5583
F  0.2791  0.7209  0.0000
F  0.2830  0.2830  0.0000
F  0.7170  0.7170  0.0000
F  0.7209  0.2791  0.0000
F  0.7209  0.7209  0.4417

***

3.
DFT (GGA-PBE) results for crystalline Rb3ReF at its relaxed geometry.

Results
space group = No. 221
uncorrected energy = -3.291 eV/atom
calculated density = 4.3 g cm⁻³
magnetic moment = 3.4 μB per formula unit

Lattice parameters (Å, degrees): 5.6384 5.6384 5.6384 90.00 90.00 90.00
Atoms (fractional coordinates):
Rb  0.0000  0.0000  0.5000
Rb  0.0000  0.5000  0.0000
Rb  0.5000  0.0000  0.0000
Re  0.5000  0.5000  0.5000
F  0.0000  0.0000  0.0000

***

4.
DFT (GGA-PBE) results for crystalline Rb2ReF7 at its relaxed geometry.

Results
space group = No. 15
uncorrected energy = -5.230 eV/atom
calculated density = 4.5 g cm⁻³
magnetic moment = 2.0 μB per formula unit

Lattice parameters (Å, degrees): 7.8513 7.8513 10.3310 127.10 127.10 50.17
Atoms (fractional coordinates):
Rb  0.0033  0.6829  0.7640
Rb  0.3171  0.9967  0.7360
Rb  0.6829  0.0033  0.2640
Rb  0.9967  0.3171  0.2360
Re  0.3054  0.6946  0.2500
Re  0.6946  0.3054  0.7500
F  0.0150  0.1379  0.9010
F  0.1379  0.0150  0.4010
F  0.1944  0.5868  0.3044
F  0.2509  0.4612  0.0134
F  0.3973  0.6027  0.7500
F  0.4132  0.8056  0.1956
F  0.4612  0.2509  0.5134
F  0.5388  0.7491  0.4866
F  0.5868  0.1944  0.8044
F  0.6027  0.3973  0.2500
F  0.7491  0.5388  0.9866
F  0.8056  0.4132  0.6956
F  0.8621  0.9850  0.5990
F  0.9850  0.8621  0.0990

***

5.
DFT (GGA-PBE) results for crystalline RbReF6 at its relaxed geometry.

Results
space group = No. 149
uncorrected energy = -5.471 eV/atom
calculated density = 3.6 g cm⁻³
magnetic moment = 2.0 μB per formula unit

Lattice parameters (Å, degrees): 5.8975 5.8975 5.8254 90.00 90.00 120.00
Atoms (fractional coordinates):
Rb  0.0000  0.0000  0.0000
Re  0.6667  0.3333  0.5000
F  0.4024  0.0690  0.6926
F  0.4024  0.3334  0.3074
F  0.6666  0.0690  0.3074
F  0.6666  0.5976  0.6926
F  0.9310  0.3334  0.6926
F  0.9310  0.5976  0.3074

***

6.
DFT (GGA-PBE) results for crystalline Rb2ReRuF6 at its relaxed geometry.

Results
space group = No. 225
uncorrected energy = -5.110 eV/atom
calculated density = 5.4 g cm⁻³
magnetic moment = 5.0 μB per formula unit

Lattice parameters (Å, degrees): 6.2957 6.2957 6.2957 60.00 60.00 60.00
Atoms (fractional coordinates):
Rb  0.2500  0.2500  0.2500
Rb  0.7500  0.7500  0.7500
Re  0.0000  0.0000  0.0000
Ru  0.5000  0.5000  0.5000
F  0.2306  0.2306  0.7694
F  0.2306  0.7694  0.2306
F  0.2306  0.7694  0.7694
F  0.7694  0.2306  0.2306
F  0.7694  0.2306  0.7694
F  0.7694  0.7694  0.2306

***

7.
DFT (GGA-PBE) results for crystalline Rb2ReSF6 at its relaxed geometry.

Results
space group = No. 139
uncorrected energy = -4.856 eV/atom
calculated density = 3.6 g cm⁻³
magnetic moment = 1.0 μB per formula unit

Lattice parameters (Å, degrees): 6.8114 6.8114 6.8114 118.10 118.10 93.33
Atoms (fractional coordinates):
Rb  0.2500  0.7500  0.5000
Rb  0.7500  0.2500  0.5000
Re  0.0000  0.0000  0.0000
S  0.5000  0.5000  0.0000
F  0.1985  0.1985  0.3969
F  0.1985  0.8015  0.0000
F  0.2100  0.2100  0.0000
F  0.7900  0.7900  0.0000
F  0.8015  0.1985  0.0000
F  0.8015  0.8015  0.6031

***

8.
DFT (GGA-PBE) results for crystalline Rb2ReSbF6 at its relaxed geometry.

Results
space group = No. 139
uncorrected energy = -4.811 eV/atom
calculated density = 4.5 g cm⁻³
magnetic moment = 2.0 μB per formula unit

Lattice parameters (Å, degrees): 7.1553 7.1553 7.1553 128.78 128.78 75.36
Atoms (fractional coordinates):
Rb  0.2500  0.7500  0.5000
Rb  0.7500  0.2500  0.5000
Re  0.0000  0.0000  0.0000
Sb  0.5000  0.5000  0.0000
F  0.1771  0.1771  0.0000
F  0.2369  0.2369  0.4738
F  0.2369  0.7631  0.0000
F  0.7631  0.2369  0.0000
F  0.7631  0.7631  0.5262
F  0.8229  0.8229  0.0000

***

9.
DFT (GGA-PBE) results for crystalline Rb2ScReF6 at its relaxed geometry.

Results
space group = No. 225
uncorrected energy = -5.477 eV/atom
calculated density = 5.4 g cm⁻³
magnetic moment = 0.0 μB per formula unit

Lattice parameters (Å, degrees): 6.0922 6.0922 6.0922 60.00 60.00 60.00
Atoms (fractional coordinates):
Rb  0.2500  0.2500  0.2500
Rb  0.7500  0.7500  0.7500
Sc  0.0000  0.0000  0.0000
Re  0.5000  0.5000  0.5000
F  0.2397  0.2397  0.7603
F  0.2397  0.7603  0.2397
F  0.2397  0.7603  0.7603
F  0.7603  0.2397  0.2397
F  0.7603  0.2397  0.7603
F  0.7603  0.7603  0.2397

***

10.
DFT (GGA-PBE) results for crystalline Rb2ReSeF6 at its relaxed geometry.

Results
space group = No. 139
uncorrected energy = -4.831 eV/atom
calculated density = 3.9 g cm⁻³
magnetic moment = 1.0 μB per formula unit

Lattice parameters (Å, degrees): 7.0150 7.0150 7.0150 122.80 122.80 85.21
Atoms (fractional coordinates):
Rb  0.2500  0.7500  0.5000
Rb  0.7500  0.2500  0.5000
Re  0.0000  0.0000  0.0000
Se  0.5000  0.5000  0.0000
F  0.1917  0.1917  0.0000
F  0.2081  0.2081  0.4162
F  0.2081  0.7919  0.0000
F  0.7919  0.2081  0.0000
F  0.7919  0.7919  0.5838
F  0.8083  0.8083  0.0000

***

11.
DFT (GGA-PBE) results for crystalline Rb2ReSiF6 at its relaxed geometry.

Results
space group = No. 225
uncorrected energy = -4.851 eV/atom
calculated density = 5.0 g cm⁻³
magnetic moment = 1.0 μB per formula unit

Lattice parameters (Å, degrees): 6.1507 6.1507 6.1507 60.00 60.00 60.00
Atoms (fractional coordinates):
Rb  0.2500  0.2500  0.2500
Rb  0.7500  0.7500  0.7500
Re  0.0000  0.0000  0.0000
Si  0.5000  0.5000  0.5000
F  0.2496  0.2496  0.7504
F  0.2496  0.7504  0.2496
F  0.2496  0.7504  0.7504
F  0.7504  0.2496  0.2496
F  0.7504  0.2496  0.7504
F  0.7504  0.7504  0.2496

***

12.
DFT (GGA-PBE) results for crystalline Rb2SrReF6 at its relaxed geometry.

Results
space group = No. 225
uncorrected energy = -5.075 eV/atom
calculated density = 5.0 g cm⁻³
magnetic moment = 1.0 μB per formula unit

Lattice parameters (Å, degrees): 6.4143 6.4143 6.4143 60.00 60.00 60.00
Atoms (fractional coordinates):
Rb  0.2500  0.2500  0.2500
Rb  0.7500  0.7500  0.7500
Sr  0.0000  0.0000  0.0000
Re  0.5000  0.5000  0.5000
F  0.2618  0.2618  0.7382
F  0.2618  0.7382  0.2618
F  0.2618  0.7382  0.7382
F  0.7382  0.2618  0.2618
F  0.7382  0.2618  0.7382
F  0.7382  0.7382  0.2618

***

13.
DFT (GGA-PBE) results for crystalline Rb2TaReF6 at its relaxed geometry.

Results
space group = No. 139
uncorrected energy = -5.400 eV/atom
calculated density = 6.6 g cm⁻³
magnetic moment = 2.0 μB per formula unit

Lattice parameters (Å, degrees): 6.1626 6.1626 6.1626 120.09 120.09 89.85
Atoms (fractional coordinates):
Rb  0.2500  0.7500  0.5000
Rb  0.7500  0.2500  0.5000
Ta  0.0000  0.0000  0.0000
Re  0.5000  0.5000  0.0000
F  0.2456  0.2456  0.0000
F  0.2456  0.2456  0.4912
F  0.2456  0.7544  0.0000
F  0.7544  0.2456  0.0000
F  0.7544  0.7544  0.0000
F  0.7544  0.7544  0.5088

***

14.
DFT (GGA-PBE) results for crystalline Rb2ReTeF at its relaxed geometry.

Results
space group = No. 123
uncorrected energy = -3.769 eV/atom
calculated density = 5.1 g cm⁻³
magnetic moment = 4.0 μB per formula unit

Lattice parameters (Å, degrees): 4.8853 4.8853 6.9113 90.00 90.00 90.00
Atoms (fractional coordinates):
Rb  0.0000  0.5000  0.0000
Rb  0.5000  0.0000  0.0000
Re  0.0000  0.0000  0.5000
Te  0.5000  0.5000  0.5000
F  0.5000  0.5000  0.0000

***

15.
DFT (GGA-PBE) results for crystalline Rb2TlReF6 at its relaxed geometry.

Results
space group = No. 59
uncorrected energy = -4.896 eV/atom
calculated density = 5.3 g cm⁻³
magnetic moment = 2.0 μB per formula unit

Lattice parameters (Å, degrees): 6.1543 9.3534 7.3404 90.00 90.00 90.00
Atoms (fractional coordinates):
Rb  0.2500  0.0296  0.1929
Rb  0.2500  0.4704  0.1929
Rb  0.7500  0.5296  0.8071
Rb  0.7500  0.9704  0.8071
Tl  0.2500  0.2500  0.6946
Tl  0.7500  0.7500  0.3054
Re  0.2500  0.7500  0.7998
Re  0.7500  0.2500  0.2002
F  0.0141  0.7500  0.6035
F  0.0212  0.7500  0.0048
F  0.2500  0.5266  0.8053
F  0.2500  0.9734  0.8053
F  0.4788  0.7500  0.0048
F  0.4859  0.7500  0.6035
F  0.5141  0.2500  0.3965
F  0.5212  0.2500  0.9952
F  0.7500  0.0266  0.1947
F  0.7500  0.4734  0.1947
F  0.9788  0.2500  0.9952
F  0.9859  0.2500  0.3965

***

16.
DFT (GGA-PBE) results for crystalline RbTl2ReF8 at its relaxed geometry.

Results
space group = No. 10
uncorrected energy = -4.912 eV/atom
calculated density = 5.2 g cm⁻³
magnetic moment = 2.0 μB per formula unit

Lattice parameters (Å, degrees): 4.8378 8.3596 6.5805 90.00 96.65 90.00
Atoms (fractional coordinates):
Rb  0.0000  0.0000  0.0000
Tl  0.5000  0.2325  0.5000
Tl  0.5000  0.7675  0.5000
Re  0.0000  0.5000  0.0000
F  0.1056  0.3306  0.8234
F  0.1056  0.6694  0.8234
F  0.3505  0.5000  0.1631
F  0.4988  0.0000  0.7306
F  0.5012  0.0000  0.2694
F  0.6495  0.5000  0.8369
F  0.8944  0.3306  0.1766
F  0.8944  0.6694  0.1766

***

17.
DFT (GGA-PBE) results for crystalline RbTlReF6 at its relaxed geometry.

Results
space group = No. 163
uncorrected energy = -5.242 eV/atom
calculated density = 5.5 g cm⁻³
magnetic moment = 3.0 μB per formula unit

Lattice parameters (Å, degrees): 6.8254 6.8254 8.8216 90.00 90.00 120.00
Atoms (fractional coordinates):
Rb  0.3333  0.6667  0.2500
Rb  0.6667  0.3333  0.7500
Tl  0.0000  0.0000  0.0000
Tl  0.0000  0.0000  0.5000
Re  0.3333  0.6667  0.7500
Re  0.6667  0.3333  0.2500
F  0.0922  0.4204  0.6263
F  0.0922  0.6718  0.8737
F  0.3282  0.4204  0.8737
F  0.3282  0.9078  0.6263
F  0.4204  0.0922  0.1263
F  0.4204  0.3282  0.3737
F  0.5796  0.6718  0.6263
F  0.5796  0.9078  0.8737
F  0.6718  0.0922  0.3737
F  0.6718  0.5796  0.1263
F  0.9078  0.3282  0.1263
F  0.9078  0.5796  0.3737

***

18.
DFT (GGA-PBE) results for crystalline Rb2TlReF6 at its relaxed geometry.

Results
space group = No. 139
uncorrected energy = -4.879 eV/atom
calculated density = 5.4 g cm⁻³
magnetic moment = 2.0 μB per formula unit

Lattice parameters (Å, degrees): 6.6576 6.6576 6.6576 120.22 120.22 89.63
Atoms (fractional coordinates):
Rb  0.2500  0.7500  0.5000
Rb  0.7500  0.2500  0.5000
Tl  0.0000  0.0000  0.0000
Re  0.5000  0.5000  0.0000
F  0.2790  0.2790  0.0000
F  0.2816  0.2816  0.5631
F  0.2816  0.7184  0.0000
F  0.7184  0.2816  0.0000
F  0.7184  0.7184  0.4369
F  0.7210  0.7210  0.0000